1.
Material: Th5Bi2C
Method: DFT, GGA-PBE
State: optimized geometry

Unit cell a=4.4248 b=17.7372 c=13.8821 alpha=90.00 beta=90.00 gamma=90.00
Closest atoms and distances in Å follow each position.
Space group Cmcm (No. 63)
Inequivalent atoms, fractional coordinates:
Th: 0.0000 0.1075 0.1259  1 C 2.41
Th: 0.0000 0.2453 0.7500  2 C 2.40
Th: 0.0000 0.3047 0.0411  2 Th 3.16, 2 Bi 3.22, 1 C 3.42
Bi: 0.0000 0.0782 0.6193  5 Th 3.22-3.47
C: 0.0000 0.2023 0.2500  4 Th 2.40-2.41

Results
**Final energy**: -6.74 eV/atom
**ΔH_f (0 K)**: 0.2 eV/f.u.
**Fermi-level density of states**: 26.08 states/eV per cell



2.
Material: Th2BiC
Method: DFT, GGA-PBE
State: optimized geometry

Unit cell a=7.3638 b=4.7876 c=11.7947 alpha=90.00 beta=90.00 gamma=90.00
Closest atoms and distances in Å follow each position.
Space group Pnma (No. 62)
Inequivalent atoms, fractional coordinates:
Th: 0.1203 0.2500 0.2270  1 C 2.37
Th: 0.1456 0.2500 0.5532  3 C 2.47-2.55
Bi: 0.1459 0.2500 0.8734  6 Th 3.31-3.55, 1 C 3.50
C: 0.0658 0.7500 0.6095  4 Th 2.37-2.55

Results
**Final energy**: -7.41 eV/atom
**ΔH_f (0 K)**: -1.7 eV/f.u.
**Fermi-level density of states**: 9.15 states/eV per cell



3.
Material: Th2BiC
Method: DFT, GGA-PBE
State: optimized geometry

Unit cell a=3.6219 b=3.6219 c=26.1962 alpha=90.00 beta=90.00 gamma=120.00
Closest atoms and distances in Å follow each position.
Space group R3m (No. 160, hexagonal axes)
Inequivalent atoms, fractional coordinates:
Th: 0.0000 0.0000 0.0000  3 C 2.65
Th: 0.0000 0.0000 0.1229  3 C 2.63
Bi: 0.0000 0.0000 0.5613  6 Th 3.46, 6 Bi 3.62
C: 0.0000 0.0000 0.3953  6 Th 2.63-2.65

Results
**Final energy**: -7.12 eV/atom
**ΔH_f (0 K)**: -0.5 eV/f.u.
**Fermi-level density of states**: 10.36 states/eV per cell



4.
Material: Th5BiC
Method: DFT, GGA-PBE
State: optimized geometry

Unit cell a=7.8197 b=11.2378 c=5.5416 alpha=90.00 beta=90.00 gamma=90.00
Closest atoms and distances in Å follow each position.
Space group Imm2 (No. 44)
Inequivalent atoms, fractional coordinates:
Th: 0.0000 0.0000 0.0000  2 C 2.77
Th: 0.0000 0.2185 0.5006  1 C 2.46
Th: 0.1969 0.5000 0.9994  1 C 2.37
Bi: 0.0000 0.5000 0.4993  6 Th 3.16-3.17
C: 0.0000 0.0000 0.5002  4 Th 2.37-2.46

Results
**Final energy**: -6.86 eV/atom
**ΔH_f (0 K)**: 2.2 eV/f.u.
**Fermi-level density of states**: 15.25 states/eV per cell



5.
Material: Th7Bi2C2
Method: DFT, GGA-PBE
State: optimized geometry

Unit cell a=8.0683 b=11.4725 c=8.1705 alpha=90.00 beta=100.77 gamma=90.00
Closest atoms and distances in Å follow each position.
Space group C2/m (No. 12)
Inequivalent atoms, fractional coordinates:
Th: 0.0000 0.0000 0.0000  2 C 2.64
Th: 0.0896 0.5000 0.8091  2 C 2.44-2.64
Th: 0.2056 0.3006 0.1896  1 C 2.39
Bi: 0.0000 0.2944 0.5000  6 Th 3.28-3.43
C: 0.2110 0.5000 0.1065  5 Th 2.39-2.64

Results
**Final energy**: -7.08 eV/atom
**ΔH_f (0 K)**: 0.2 eV/f.u.
**Fermi-level density of states**: 26.62 states/eV per cell



6.
Material: Th4Bi5C
Method: DFT, GGA-PBE
State: optimized geometry

Unit cell a=18.5375 b=3.6873 c=9.2647 alpha=90.00 beta=91.21 gamma=90.00
Closest atoms and distances in Å follow each position.
Space group C2/m (No. 12)
Inequivalent atoms, fractional coordinates:
Th: 0.0205 0.0000 0.1890  2 C 2.57
Th: 0.1381 0.5000 0.9352  1 C 2.64
Bi: 0.0000 0.5000 0.5000  6 Bi 3.38-3.69, 4 Th 3.45
Bi: 0.1422 0.0000 0.6169  6 Bi 3.38-3.77, 3 Th 3.48-3.54
Bi: 0.1980 0.0000 0.2210  4 Th 3.30-3.39, 2 Bi 3.69
C: 0.0000 0.5000 0.0000  6 Th 2.57-2.64

Results
**Final energy**: -6.12 eV/atom
**ΔH_f (0 K)**: -2.9 eV/f.u.
**Fermi-level density of states**: 14.65 states/eV per cell



7.
Material: Th6Bi2C
Method: DFT, GGA-PBE
State: optimized geometry

Unit cell a=6.5585 b=7.9661 c=12.0934 alpha=90.00 beta=120.86 gamma=90.00
Closest atoms and distances in Å follow each position.
Space group P2_1/c (No. 14)
Inequivalent atoms, fractional coordinates:
Th: 0.1330 0.1744 0.4730  1 C 2.65
Th: 0.3227 0.7103 0.4635  1 C 2.52
Th: 0.3658 0.0130 0.2543  1 C 2.63
Bi: 0.1654 0.1030 0.7559  9 Th 3.26-3.54
C: 0.5000 0.0000 0.5000  6 Th 2.52-2.65

Results
**Final energy**: -7.11 eV/atom
**ΔH_f (0 K)**: -2.5 eV/f.u.
**Fermi-level density of states**: 18.98 states/eV per cell



8.
Material: Th6Bi3C
Method: DFT, GGA-PBE
State: optimized geometry

Unit cell a=6.6419 b=8.4762 c=12.6744 alpha=90.00 beta=120.81 gamma=90.00
Closest atoms and distances in Å follow each position.
Space group P2_1/c (No. 14)
Inequivalent atoms, fractional coordinates:
Th: 0.0554 0.2211 0.4482  1 C 2.53
Th: 0.2941 0.6507 0.4505  1 C 2.66
Th: 0.3548 0.0267 0.2184  1 C 2.57
Bi: 0.1484 0.1183 0.7390  7 Th 3.27-3.53
Bi: 0.5000 0.0000 0.5000  6 Th 3.19-3.27
C: 0.0000 0.0000 0.0000  6 Th 2.53-2.66

Results
**Final energy**: -6.88 eV/atom
**ΔH_f (0 K)**: -3.4 eV/f.u.
**Fermi-level density of states**: 16.83 states/eV per cell